Record 1
The following is a GGA-PBE calculation of an optimized crystal structure of Ba2UMnS5, from Alexandria via LeMat-Bulk.

Cell lengths 4.178, 9.222, 12.972 Å; angles 90.00, 90.00, 103.09 degrees
Fractional positions:
Ba: 0.874 0.749 0.823
Ba: 0.112 0.224 0.687
Ba: 0.126 0.251 0.323
Ba: 0.888 0.776 0.187
U: 0.798 0.596 0.522
U: 0.202 0.404 0.022
Mn: 0.557 0.115 0.936
Mn: 0.443 0.885 0.436
S: 0.349 0.697 0.008
S: 0.688 0.376 0.881
S: 0.499 0.997 0.778
S: 0.293 0.585 0.659
S: 0.949 0.897 0.530
S: 0.651 0.303 0.508
S: 0.312 0.624 0.381
S: 0.501 0.003 0.278
S: 0.707 0.415 0.159
S: 0.051 0.103 0.030

Results
**D(E_F)**: 3.99 states/eV/f.u.
**Symmetry**: Cmc2_1

***

Record 2
The following is a GGA-PBE calculation of an optimized crystal structure of BaUMnS4, from Alexandria via LeMat-Bulk.

Cell lengths 6.549, 6.498, 8.588 Å; angles 90.00, 108.40, 90.00 degrees
Fractional positions:
Ba: 0.744 0.750 0.940
Ba: 0.256 0.250 0.060
U: 0.779 0.750 0.449
U: 0.221 0.250 0.551
Mn: 0.233 0.750 0.324
Mn: 0.767 0.250 0.676
S: 0.018 0.510 0.715
S: 0.982 0.010 0.285
S: 0.982 0.490 0.285
S: 0.018 0.990 0.715
S: 0.435 0.750 0.150
S: 0.565 0.250 0.850
S: 0.454 0.750 0.586
S: 0.546 0.250 0.414

Results
**D(E_F)**: 4.90 states/eV/f.u.
**Symmetry**: P2_1/m

***

Record 3
The following is a GGA-PBE calculation of an optimized crystal structure of BaMnV2S8, from Alexandria via LeMat-Bulk.

Cell lengths 6.017, 6.017, 9.314 Å; angles 71.16, 71.16, 60.00 degrees
Fractional positions:
Ba: 0.500 0.500 0.500
Mn: 0.000 0.000 0.000
V: 0.257 0.257 0.230
V: 0.743 0.743 0.770
S: 0.175 0.175 0.475
S: 0.634 0.265 0.162
S: 0.825 0.825 0.525
S: 0.939 0.634 0.162
S: 0.061 0.366 0.838
S: 0.265 0.939 0.162
S: 0.735 0.061 0.838
S: 0.366 0.735 0.838

Results
**Symmetry**: R-3

***

no.,calculated total energy (eV per atom),calculated density (g/cm3)
1,-6.552,5.0
2,-6.894,5.3
3,-5.972,3.4